Entry from Alexandria via LeMat-Bulk: crystalline Tb6ScCd at its relaxed geometry (PBE).

The total energy comes out at -4.407 eV per atom. The volume comes out at 235.2 Å³/cell. The calculation puts the relative energy among the computed polymorphs at 0.0 meV/atom. The magnetization is 0.0 μB/cell. As for the formation energy: -28.4 meV per atom.

The space group is P4/mmm (No. 123) and the conventional cell measures 4.867, 4.867 and 9.929 Å, with angles of 90.00, 90.00 and 90.00 degrees. The distinct sites, in fractional coordinates, are Tb at (0.000, 0.000, 0.000), Tb at (0.000, 0.000, 0.500), Tb at (0.000, 0.500, 0.249), Sc at (0.500, 0.500, 0.500) and Cd at (0.500, 0.500, 0.000).


Entry from Alexandria via LeMat-Bulk: crystalline BeSeF2 at its relaxed geometry (PBE).

The total energy comes out at -2.878 eV per atom. For the formation energy (no corrections), the calculation gives -139 meV/atom. The volume comes out at 206.4 Å³/cell. The calculation puts the relative energy among the computed polymorphs at 1880.9 meV/atom. The magnetization is 6.1 μB/cell.

The space group is Fm-3m (No. 225) and the conventional cell measures 5.910, 5.910 and 5.910 Å, with angles of 90.00, 90.00 and 90.00 degrees. The distinct sites, in fractional coordinates, are Be at (0.000, 0.000, 0.000), Se at (0.000, 0.000, 0.500) and F at (0.250, 0.250, 0.250).


Entry from Alexandria via LeMat-Bulk: crystalline Nb2ZnFeC at its relaxed geometry (PBE).

The total energy comes out at -7.909 eV per atom. The volume comes out at 70.5 Å³/cell. The magnetization is 1.7 μB/cell. As for the formation energy: -89.1 meV per atom.

The space group is P4/mmm (No. 123) and the conventional cell measures 4.344, 4.344 and 3.737 Å, with angles of 90.00, 90.00 and 90.00 degrees. The distinct sites, in fractional coordinates, are Nb at (0.000, 0.500, 0.000), Zn at (0.000, 0.000, 0.500), Fe at (0.500, 0.500, 0.500) and C at (0.500, 0.500, 0.000).


Entry from Alexandria via LeMat-Bulk: crystalline Sr2GaCuHg at its relaxed geometry (PBE).

The total energy comes out at -2.397 eV per atom. The volume comes out at 157.7 Å³/cell. The magnetization is 0.0 μB/cell. As for the formation energy: -239.5 meV per atom.

The space group is P4/mmm (No. 123) and the conventional cell measures 5.880, 5.880 and 4.561 Å, with angles of 90.00, 90.00 and 90.00 degrees. The distinct sites, in fractional coordinates, are Sr at (0.000, 0.500, 0.000), Ga at (0.000, 0.000, 0.500), Cu at (0.000, 0.000, 0.000) and Hg at (0.500, 0.500, 0.500).


Entry from Alexandria via LeMat-Bulk: crystalline UAgPd at its relaxed geometry (PBE).

The total energy comes out at -6.175 eV per atom. The volume comes out at 384.8 Å³/cell. The magnetization is 0.0 μB/cell. As for the formation energy: 269.6 meV per atom.

The space group is R-3m (No. 166, hexagonal axes) and the conventional cell measures 3.4357, 3.4357 and 37.6477 Å, with angles of 90.00, 90.00 and 120.00 degrees. The distinct sites, in fractional coordinates, are U at (0.0000, 0.0000, 0.1872), Ag at (0.0000, 0.0000, 0.3606) and Pd at (0.0000, 0.0000, 0.2534).


Entry from Alexandria via LeMat-Bulk: crystalline Zr3TlH at its relaxed geometry (PBE).

The total energy comes out at -6.203 eV per atom. The volume comes out at 397.0 Å³/cell. The magnetization is 0.0 μB/cell.

The space group is Imma (No. 74) and the conventional cell measures 5.660, 8.808 and 7.963 Å, with angles of 90.00, 90.00 and 90.00 degrees. The distinct sites, in fractional coordinates, are Zr at (0.000, 0.095, 0.139), Zr at (0.250, 0.250, 0.750), Tl at (0.000, 0.000, 0.500) and H at (0.000, 0.250, 0.947).